(1)
A relaxed Tm5SnBi4 crystal. Source: Alexandria via LeMat-Bulk, functional PBE-GGA.

Calculated values
The space group is No. 87. Its density of states at the Fermi level is 0.384 states/eV/atom. Its formation energy from the elements is -0.717 eV per atom. The value obtained for the calculated volume is 30.47 A^3/atom.

Cell: 6.2451 7.6510 7.6510 Å, 80.41 65.91 65.91°
Last column: nearest neighbours and their distance in Å.
Fractional coordinates of all 10 atoms:
Tm1 0.1004 0.6063 0.1948  1 Sn 3.07, 5 Bi 3.12-3.15
Tm2 0.7066 0.1948 0.3937  1 Sn 3.07, 5 Bi 3.12-3.15
Tm3 0.5015 0.0000 0.0000  2 Sn 3.12, 4 Bi 3.13
Tm4 0.9014 0.3937 0.8052  1 Sn 3.07, 5 Bi 3.12-3.15
Tm5 0.2952 0.8052 0.6063  1 Sn 3.07, 5 Bi 3.12-3.15
Bi1 0.5983 0.6012 0.2041  6 Tm 3.12-3.15
Bi2 0.4036 0.3988 0.7959  6 Tm 3.12-3.15
Bi3 0.1995 0.2041 0.3988  6 Tm 3.12-3.15
Bi4 0.8024 0.7959 0.6012  6 Tm 3.12-3.15
Sn1 0.0015 0.0000 0.0000  6 Tm 3.07-3.12



(2)
A relaxed Nb9PO25 crystal. Source: Alexandria via LeMat-Bulk, functional PBE-GGA.

Calculated values
The space group is No. 85. Its density of states at the Fermi level is 0.000 states/eV/atom. The value obtained for the calculated volume is 14.04 A^3/atom. The value obtained for the formation energy (no corrections) is -2525 meV per atom.

Cell: 3.8866 15.9036 15.9036 Å, 90.00 90.00 90.00°
Last column: nearest neighbours and their distance in Å.
Fractional coordinates of all 70 atoms:
O1 0.7506 0.6125 0.2517  2 Nb 2.01-2.02
O2 0.7455 0.6447 0.6553  2 Nb 1.97-2.07
O3 0.2186 0.0514 0.9367  1 P 1.55
O4 0.7506 0.3875 0.7483  2 Nb 2.01-2.02
O5 0.2494 0.1125 0.7517  2 Nb 2.01-2.02
O6 0.2494 0.7483 0.6125  2 Nb 2.01-2.02
O7 0.7582 0.8250 0.7199  2 Nb 1.88-2.00
O8 0.2418 0.7199 0.1750  2 Nb 1.88-2.00
O9 0.2552 0.4888 0.2795  1 Nb 1.81
O10 0.7455 0.8447 0.1447  2 Nb 1.97-2.07
O11 0.2545 0.6553 0.3553  2 Nb 1.97-2.07
O12 0.7629 0.5000 0.0000  1 Nb 1.83
O13 0.7814 0.5514 0.4367  1 P 1.55
O14 0.7457 0.9467 0.3844  2 Nb 1.85-2.03
O15 0.7448 0.9888 0.7795  1 Nb 1.81
O16 0.7582 0.7801 0.3250  2 Nb 1.88-2.00
O17 0.2494 0.2517 0.3875  2 Nb 2.01-2.02
O18 0.7457 0.0533 0.6156  2 Nb 1.85-2.03
O19 0.7448 0.2795 0.5112  1 Nb 1.81
O20 0.2186 0.4367 0.4486  1 P 1.55
O21 0.2186 0.9486 0.0633  1 P 1.55
O22 0.2552 0.2205 0.9888  1 Nb 1.81
O23 0.2552 0.7795 0.0112  1 Nb 1.81
O24 0.2418 0.2801 0.8250  2 Nb 1.88-2.00
O25 0.2543 0.4467 0.8844  2 Nb 1.85-2.03
O26 0.2545 0.8553 0.8447  2 Nb 1.97-2.07
O27 0.2543 0.3844 0.0533  2 Nb 1.85-2.03
O28 0.2543 0.6156 0.9467  2 Nb 1.85-2.03
O29 0.2552 0.5112 0.7205  1 Nb 1.81
O30 0.7582 0.2199 0.6750  2 Nb 1.88-2.00
O31 0.2545 0.3447 0.6447  2 Nb 1.97-2.07
O32 0.7455 0.1553 0.8553  2 Nb 1.97-2.07
O33 0.2494 0.8875 0.2483  2 Nb 2.01-2.02
O34 0.7814 0.0633 0.0514  1 P 1.55
O35 0.7457 0.8844 0.5533  2 Nb 1.85-2.03
O36 0.7506 0.7517 0.8875  2 Nb 2.01-2.02
O37 0.2418 0.3250 0.2199  2 Nb 1.88-2.00
O38 0.7582 0.1750 0.2801  2 Nb 1.88-2.00
O39 0.7448 0.0112 0.2205  1 Nb 1.81
O40 0.7448 0.7205 0.4888  1 Nb 1.81
O41 0.7506 0.2483 0.1125  2 Nb 2.01-2.02
O42 0.7814 0.9367 0.9486  1 P 1.55
O43 0.2418 0.6750 0.7801  2 Nb 1.88-2.00
O44 0.2371 0.0000 0.5000  1 Nb 1.83
O45 0.2186 0.5633 0.5514  1 P 1.55
O46 0.2543 0.5533 0.1156  2 Nb 1.85-2.03
O47 0.2545 0.1447 0.1553  2 Nb 1.97-2.07
O48 0.7455 0.3553 0.3447  2 Nb 1.97-2.07
O49 0.7457 0.1156 0.4467  2 Nb 1.85-2.03
O50 0.7814 0.4486 0.5633  1 P 1.55
Nb1 0.2581 0.1706 0.8868  3 O 1.81-2.00
Nb2 0.7419 0.1132 0.1706  3 O 1.81-2.00
Nb3 0.7419 0.6706 0.3868  3 O 1.81-2.00
Nb4 0.2581 0.8294 0.1132  3 O 1.81-2.00
Nb5 0.7072 0.0000 0.5000  5 O 1.83-2.03
Nb6 0.2494 0.2822 0.1095  4 O 1.85-2.02
Nb7 0.7419 0.8868 0.8294  3 O 1.81-2.00
Nb8 0.2494 0.3905 0.7822  4 O 1.85-2.02
Nb9 0.7506 0.8905 0.2822  4 O 1.85-2.02
Nb10 0.7419 0.3294 0.6132  3 O 1.81-2.00
Nb11 0.7506 0.1095 0.7178  4 O 1.85-2.02
Nb12 0.2494 0.7178 0.8905  4 O 1.85-2.02
Nb13 0.7506 0.7822 0.6095  4 O 1.85-2.02
Nb14 0.7506 0.2178 0.3905  4 O 1.85-2.02
Nb15 0.2494 0.6095 0.2178  4 O 1.85-2.02
Nb16 0.2581 0.3868 0.3294  3 O 1.81-2.00
Nb17 0.2581 0.6132 0.6706  3 O 1.81-2.00
Nb18 0.2928 0.5000 0.0000  5 O 1.83-2.03
P1 0.0000 0.5000 0.5000  4 O 1.55
P2 0.0000 0.0000 0.0000  4 O 1.55



(3)
A relaxed Cd2NiRh crystal. Source: Alexandria via LeMat-Bulk, functional PBE-GGA.

Calculated values
The space group is No. 122. Its density of states at the Fermi level is 1.118 states/eV/atom. Its formation energy from the elements is 0.356 eV per atom. The value obtained for the calculated volume is 17.75 A^3/atom.

Cell: 7.2048 7.2048 5.7826 Å, 51.47 51.47 90.00°
Last column: nearest neighbours and their distance in Å.
Fractional coordinates of all 8 atoms:
Cd1 0.8750 0.8583 0.7500  2 Ni 2.56, 2 Rh 2.72, 2 Cd 2.75
Cd2 0.6083 0.1250 0.2500  2 Ni 2.56, 2 Rh 2.72, 2 Cd 2.75
Cd3 0.1417 0.6250 0.2500  2 Ni 2.56, 2 Rh 2.72, 2 Cd 2.75
Cd4 0.3750 0.3917 0.7500  2 Ni 2.56, 2 Rh 2.72, 2 Cd 2.75
Rh1 0.7500 0.2500 0.5000  4 Cd 2.72, 2 Ni 2.74
Rh2 0.0000 0.0000 0.0000  4 Cd 2.72, 2 Ni 2.74
Ni1 0.2500 0.7500 0.5000  4 Cd 2.56, 2 Rh 2.74
Ni2 0.5000 0.5000 0.0000  4 Cd 2.56, 2 Rh 2.74



(4)
A relaxed PuNiPt4 crystal. Source: Alexandria via LeMat-Bulk, functional PBE-GGA.

Calculated values
The space group is No. 216. Its density of states at the Fermi level is 3.365 states/eV/atom. Its formation energy from the elements is -0.365 eV per atom. For the polymorph energy (0 for the lowest one), the calculation gives 41 meV/atom. The value obtained for the calculated volume is 17.69 A^3/atom.

Cell: 5.3149 5.3149 5.3149 Å, 60.00 60.00 60.00°
Last column: nearest neighbours and their distance in Å.
Fractional coordinates of all 6 atoms:
Pt1 0.6255 0.1234 0.6255  6 Pt 2.65-2.67
Pt2 0.1234 0.6255 0.6255  6 Pt 2.65-2.67
Pt3 0.6255 0.6255 0.1234  6 Pt 2.65-2.67
Pt4 0.6255 0.6255 0.6255  6 Pt 2.65-2.67
Ni1 0.0000 0.0000 0.0000  12 Pt 3.11, 4 Pu 3.25
Pu1 0.2500 0.2500 0.2500  12 Pt 3.12, 4 Ni 3.25



(5)
A relaxed TeRuRhO6 crystal. Source: Alexandria via LeMat-Bulk, functional PBE-GGA.

Calculated values
The space group is No. 163. Its density of states at the Fermi level is 0.270 states/eV/atom. The value obtained for the calculated volume is 11.31 A^3/atom. The value obtained for the formation energy (no corrections) is -769 meV per atom.

Cell: 5.1739 5.1739 8.7815 Å, 90.00 90.00 120.00°
Last column: nearest neighbours and their distance in Å.
Fractional coordinates of all 18 atoms:
Ru1 0.0000 0.0000 0.0000  6 O 2.07
Ru2 0.0000 0.0000 0.5000  6 O 2.07
O1 0.0036 0.3404 0.6256  1 Te 2.02, 1 Rh 2.04, 1 Ru 2.07
O2 0.6633 0.6596 0.1256  1 Te 2.02, 1 Rh 2.04, 1 Ru 2.07
O3 0.0036 0.6633 0.8744  1 Te 2.02, 1 Rh 2.04, 1 Ru 2.07
O4 0.6596 0.9964 0.8744  1 Te 2.02, 1 Rh 2.04, 1 Ru 2.07
O5 0.3404 0.0036 0.1256  1 Te 2.02, 1 Rh 2.04, 1 Ru 2.07
O6 0.6596 0.6633 0.6256  1 Te 2.02, 1 Rh 2.04, 1 Ru 2.07
O7 0.9964 0.6596 0.3744  1 Te 2.02, 1 Rh 2.04, 1 Ru 2.07
O8 0.3367 0.3404 0.8744  1 Te 2.02, 1 Rh 2.04, 1 Ru 2.07
O9 0.6633 0.0036 0.3744  1 Te 2.02, 1 Rh 2.04, 1 Ru 2.07
O10 0.9964 0.3367 0.1256  1 Te 2.02, 1 Rh 2.04, 1 Ru 2.07
O11 0.3404 0.3367 0.3744  1 Te 2.02, 1 Rh 2.04, 1 Ru 2.07
O12 0.3367 0.9964 0.6256  1 Te 2.02, 1 Rh 2.04, 1 Ru 2.07
Te1 0.3333 0.6667 0.7500  6 O 2.02
Te2 0.6667 0.3333 0.2500  6 O 2.02
Rh1 0.3333 0.6667 0.2500  6 O 2.04
Rh2 0.6667 0.3333 0.7500  6 O 2.04



(6)
A relaxed Cs3Pm2YSe6 crystal. Source: Alexandria via LeMat-Bulk, functional PBE-GGA.

Calculated values
The space group is No. 12. Its density of states at the Fermi level is 0.000 states/eV/atom. The value obtained for the calculated volume is 34.22 A^3/atom. The value obtained for the formation energy (no corrections) is -1732 meV per atom.

Cell: 7.5151 7.5151 8.7615 Å, 98.22 98.22 120.00°
Last column: nearest neighbours and their distance in Å.
Fractional coordinates of all 12 atoms:
Se1 0.2647 0.2647 0.8113  1 Y 2.93, 2 Pm 2.98
Se2 0.0627 0.3903 0.1881  1 Y 2.92, 2 Pm 2.98
Se3 0.6097 0.9373 0.8119  1 Y 2.92, 2 Pm 2.98
Se4 0.3903 0.0627 0.1881  1 Y 2.92, 2 Pm 2.98
Se5 0.7353 0.7353 0.1887  1 Y 2.93, 2 Pm 2.98
Se6 0.9373 0.6097 0.8119  1 Y 2.92, 2 Pm 2.98
Cs1 0.8320 0.1680 0.5000  6 Se 3.61-3.64
Cs2 0.5000 0.5000 0.5000  6 Se 3.61-3.65
Cs3 0.1680 0.8320 0.5000  6 Se 3.61-3.64
Pm1 0.6666 0.3334 0.0000  6 Se 2.98
Pm2 0.3334 0.6666 0.0000  6 Se 2.98
Y1 0.0000 0.0000 0.0000  6 Se 2.92-2.93



(7)
A relaxed Rb2NiSbBr6 crystal. Source: Alexandria via LeMat-Bulk, functional PBE-GGA.

Calculated values
The space group is No. 225. Its density of states at the Fermi level is 0.339 states/eV/atom. The value obtained for the calculated volume is 32.26 A^3/atom. The value obtained for the formation energy (no corrections) is -930 meV per atom.

Cell: 7.6949 7.6949 7.6998 Å, 60.02 60.02 90.00°
Last column: nearest neighbours and their distance in Å.
Fractional coordinates of all 10 atoms:
Br1 0.2617 0.7383 0.0000  1 Ni 2.59, 1 Sb 2.85
Br2 0.2617 0.2617 0.4766  1 Ni 2.60, 1 Sb 2.85
Br3 0.2617 0.2617 0.0000  1 Ni 2.59, 1 Sb 2.85
Br4 0.7383 0.2617 0.0000  1 Ni 2.59, 1 Sb 2.85
Br5 0.7383 0.7383 0.5234  1 Ni 2.60, 1 Sb 2.85
Br6 0.7383 0.7383 0.0000  1 Ni 2.59, 1 Sb 2.85
Rb1 0.7500 0.2500 0.5000  12 Br 3.85
Rb2 0.2500 0.7500 0.5000  12 Br 3.85
Ni1 0.5000 0.5000 0.0000  6 Br 2.59-2.60
Sb1 0.0000 0.0000 0.0000  6 Br 2.85



(8)
A relaxed SmTm7In2 crystal. Source: Alexandria via LeMat-Bulk, functional PBE-GGA.

Calculated values
The space group is No. 65. Its density of states at the Fermi level is 1.963 states/eV/atom. Its formation energy from the elements is 0.357 eV per atom. The value obtained for the calculated volume is 37.15 A^3/atom.

Cell: 5.4276 8.8163 8.8163 Å, 118.29 90.00 90.00°
Last column: nearest neighbours and their distance in Å.
Fractional coordinates of all 10 atoms:
Tm1 0.5000 0.6965 0.9416  2 In 3.10-3.19, 2 Tm 3.27-3.43
Tm2 0.5000 0.5000 0.5000  2 In 2.98
Tm3 0.5000 0.0584 0.3035  2 In 3.10-3.19, 2 Tm 3.27-3.43
Tm4 0.0000 0.7688 0.2312  2 In 2.93
Tm5 0.0000 0.2312 0.7688  2 In 2.93
Tm6 0.5000 0.3035 0.0584  2 In 3.10-3.19, 2 Tm 3.27-3.43
Tm7 0.5000 0.9416 0.6965  2 In 3.10-3.19, 2 Tm 3.27-3.43
In1 0.5000 0.6966 0.3034  7 Tm 2.93-3.19
In2 0.5000 0.3034 0.6966  7 Tm 2.93-3.19
Sm1 0.0000 0.0000 0.0000  10 Tm 3.50-3.67



(9)
A relaxed LiCoCl3 crystal. Source: Alexandria via LeMat-Bulk, functional PBE-GGA.

Calculated values
The space group is No. 11. For the polymorph energy (0 for the lowest one), the calculation gives 0 meV/atom. The value obtained for the calculated volume is 25.51 A^3/atom. The value obtained for the formation energy (no corrections) is -1043 meV per atom.

Cell: 3.6759 7.0861 12.8865 Å, 130.54 90.00 90.00°
Last column: nearest neighbours and their distance in Å.
Fractional coordinates of all 10 atoms:
Cl1 0.2500 0.4332 0.8317  1 Co 2.24, 2 Li 2.44
Cl2 0.2500 0.9502 0.8667  1 Co 2.27, 1 Li 2.51
Cl3 0.7500 0.8445 0.5841  2 Co 2.27
Cl4 0.7500 0.5668 0.1683  1 Co 2.24, 2 Li 2.44
Cl5 0.2500 0.1555 0.4159  2 Co 2.27
Cl6 0.7500 0.0498 0.1333  1 Co 2.27, 1 Li 2.51
Li1 0.2500 0.2946 0.1212  5 Cl 2.44-2.60
Li2 0.7500 0.7054 0.8788  5 Cl 2.44-2.60
Co1 0.2500 0.0250 0.7197  4 Cl 2.24-2.27
Co2 0.7500 0.9750 0.2803  4 Cl 2.24-2.27



(10)
A relaxed TiIn3Pd6 crystal. Source: Alexandria via LeMat-Bulk, functional PBE-GGA.

Calculated values
The space group is No. 11. Its density of states at the Fermi level is 0.444 states/eV/atom. Its formation energy from the elements is -0.511 eV per atom. The value obtained for the calculated volume is 16.95 A^3/atom.

Cell: 4.6305 7.8085 9.8735 Å, 108.27 90.00 90.00°
Last column: nearest neighbours and their distance in Å.
Fractional coordinates of all 20 atoms:
In1 0.7500 0.4629 0.5985  9 Pd 2.75-3.04
In2 0.2500 0.5371 0.4015  9 Pd 2.75-3.04
In3 0.2500 0.7637 0.0062  8 Pd 2.72-3.05
In4 0.7500 0.6599 0.1964  8 Pd 2.73-2.87
In5 0.2500 0.3401 0.8036  8 Pd 2.73-2.87
In6 0.7500 0.2363 0.9938  8 Pd 2.72-3.05
Pd1 0.7500 0.3564 0.2940  1 Ti 2.68, 5 In 2.75-2.86, 2 Pd 2.81
Pd2 0.2500 0.6436 0.7060  1 Ti 2.68, 5 In 2.75-2.86, 2 Pd 2.81
Pd3 0.7500 0.7770 0.4877  4 In 2.73-2.98, 3 Ti 2.76-2.77, 4 Pd 2.78-2.96
Pd4 0.7500 0.5519 0.8991  7 In 2.79-2.90, 2 Pd 2.95-3.11
Pd5 0.2500 0.4481 0.1009  7 In 2.79-2.90, 2 Pd 2.95-3.11
Pd6 0.2500 0.8569 0.3313  3 Ti 2.73-2.77, 3 In 2.79-2.87, 4 Pd 2.80-2.96
Pd7 0.2500 0.2230 0.5123  4 In 2.73-2.98, 3 Ti 2.76-2.77, 4 Pd 2.78-2.96
Pd8 0.2500 0.0493 0.9041  1 Ti 2.65, 4 In 2.72-2.75, 3 Pd 2.82-2.95
Pd9 0.2500 0.1435 0.2177  8 Pd 2.78-2.95, 2 Ti 2.99, 2 In 3.04-3.05
Pd10 0.7500 0.8565 0.7823  8 Pd 2.78-2.95, 2 Ti 2.99, 2 In 3.04-3.05
Pd11 0.7500 0.1431 0.6687  3 Ti 2.73-2.77, 3 In 2.79-2.87, 4 Pd 2.80-2.96
Pd12 0.7500 0.9507 0.0959  1 Ti 2.65, 4 In 2.72-2.75, 3 Pd 2.82-2.95
Ti1 0.7500 0.0629 0.3788  8 Pd 2.65-2.77
Ti2 0.2500 0.9371 0.6212  8 Pd 2.65-2.77



(11)
A relaxed Cs3LiSc2Br9 crystal. Source: Alexandria via LeMat-Bulk, functional PBE-GGA.

Calculated values
The space group is No. 164. Its density of states at the Fermi level is 0.389 states/eV/atom. The value obtained for the calculated volume is 33.27 A^3/atom. The value obtained for the formation energy (no corrections) is -1699 meV per atom.

Cell: 7.7709 7.7709 9.5417 Å, 90.00 90.00 120.00°
Last column: nearest neighbours and their distance in Å.
Fractional coordinates of all 15 atoms:
Br1 0.3373 0.1686 0.6727  1 Sc 2.67, 1 Li 2.81
Br2 0.8314 0.6627 0.6727  1 Sc 2.67, 1 Li 2.81
Br3 0.5000 0.5000 0.0000  2 Sc 2.77
Br4 0.1686 0.3373 0.3273  1 Sc 2.67, 1 Li 2.81
Br5 0.5000 0.0000 0.0000  2 Sc 2.77
Br6 0.1686 0.8314 0.3273  1 Sc 2.67, 1 Li 2.81
Br7 0.0000 0.5000 0.0000  2 Sc 2.77
Br8 0.8314 0.1686 0.6727  1 Sc 2.67, 1 Li 2.81
Br9 0.6627 0.8314 0.3273  1 Sc 2.67, 1 Li 2.81
Sc1 0.3333 0.6667 0.1711  6 Br 2.67-2.77
Sc2 0.6667 0.3333 0.8289  6 Br 2.67-2.77
Li1 0.0000 0.0000 0.5000  6 Br 2.81
Cs1 0.3333 0.6667 0.6578  12 Br 3.85-3.96
Cs2 0.6667 0.3333 0.3422  12 Br 3.85-3.96
Cs3 0.0000 0.0000 0.0000  12 Br 3.86-3.89



(12)
A relaxed Th3In3Hg2Os crystal. Source: Alexandria via LeMat-Bulk, functional PBE-GGA.

Calculated values
The space group is No. 189. Its density of states at the Fermi level is 0.702 states/eV/atom. Its formation energy from the elements is -0.260 eV per atom. The value obtained for the calculated volume is 26.86 A^3/atom.

Cell: 3.8333 8.5330 8.5330 Å, 120.00 90.00 90.00°
Last column: nearest neighbours and their distance in Å.
Fractional coordinates of all 9 atoms:
Th1 0.5000 0.2576 0.2576  2 Os 2.92, 2 Hg 3.22
Th2 0.5000 0.7424 0.0000  2 Os 2.92, 2 Hg 3.22
Th3 0.5000 0.0000 0.7424  2 Os 2.92, 2 Hg 3.22
Os1 0.0000 0.0000 0.0000  6 Th 2.92
In1 0.0000 0.3918 0.0000  4 Hg 3.25, 1 Os 3.34, 6 Th 3.51-3.55
In2 0.0000 0.0000 0.3918  4 Hg 3.25, 1 Os 3.34, 6 Th 3.51-3.55
In3 0.0000 0.6082 0.6082  4 Hg 3.25, 1 Os 3.34, 6 Th 3.51-3.55
Hg1 0.5000 0.3333 0.6667  3 Th 3.22, 6 In 3.25
Hg2 0.5000 0.6667 0.3333  3 Th 3.22, 6 In 3.25